Entry 1:
! AgAs2F, optimized geometry, DFT GGA-PBE; values from VASP
! magnetization: 0.000 μB per atom
! DFT total energy: -3.69 eV per atom
! polymorph energy (0 for the lowest one): 120 meV per atom
! space-group type: Fm-3m, No. 225
! energy relative to the elements, uncorrected: -0.7 eV/f.u.
! ρ: 7.15 g/cm3
&SYSTEM
  ibrav = 0, nat = 4, ntyp = 3
/
ATOMIC_SPECIES
As 74.92 As.upf
Ag 107.87 Ag.upf
F 19.00 F.upf
CELL_PARAMETERS angstrom
2.968 -2.858 -1.798
-1.377 -3.987 -1.557
-0.040 -0.793 -4.425
ATOMIC_POSITIONS crystal
As 0.250 0.250 0.250
As 0.750 0.750 0.750
Ag 0.500 0.500 0.500
F 0.000 0.000 0.000

=====

Entry 2:
! Zn2Tc, optimized geometry, DFT GGA-PBE; values from VASP
! E_form: 2.784 kcal/mol of atoms
! magnetization: 0.000 μB per atom
! DFT total energy: -4.18 eV per atom
! polymorph energy (0 for the lowest one): 121 meV per atom
! space-group type: P-3m1, No. 164
! ρ: 8.68 g/cm3
&SYSTEM
  ibrav = 0, nat = 3, ntyp = 2
/
ATOMIC_SPECIES
Tc 98.00 Tc.upf
Zn 65.41 Zn.upf
CELL_PARAMETERS angstrom
2.753 0.000 0.000
-1.376 2.384 0.000
0.000 0.000 6.672
ATOMIC_POSITIONS crystal
Tc 0.000 0.000 0.000
Zn 0.333 0.667 0.331
Zn 0.667 0.333 0.669

=====

Entry 3:
! Sc3AsC, optimized geometry, DFT GGA-PBE; values from VASP
! E_form: -17.926 kcal/mol of atoms
! magnetization: 0.000 μB per atom
! DFT total energy: -7.35 eV per atom
! space-group type: C2/c, No. 15
! ρ: 4.06 g/cm3
&SYSTEM
  ibrav = 0, nat = 20, ntyp = 3
/
ATOMIC_SPECIES
Sc 44.96 Sc.upf
As 74.92 As.upf
C 12.01 C.upf
CELL_PARAMETERS angstrom
-1.815 -5.092 1.912
4.597 -3.159 -5.755
5.712 0.700 5.578
ATOMIC_POSITIONS crystal
Sc 0.606 0.191 0.046
Sc 0.894 0.954 0.809
Sc 0.394 0.809 0.954
Sc 0.106 0.046 0.191
Sc 0.902 0.680 0.077
Sc 0.598 0.923 0.320
Sc 0.098 0.320 0.923
Sc 0.402 0.077 0.680
Sc 0.432 0.545 0.263
Sc 0.068 0.737 0.455
Sc 0.568 0.455 0.737
Sc 0.932 0.263 0.545
As 0.957 0.411 0.247
As 0.543 0.753 0.589
As 0.043 0.589 0.753
As 0.457 0.247 0.411
C 0.250 0.068 0.932
C 0.750 0.932 0.068
C 0.250 0.786 0.214
C 0.750 0.214 0.786

=====

Entry 4:
! La12Nd5Ho2, optimized geometry, DFT GGA-PBE; values from VASP
! E_form: 3.409 kcal/mol of atoms
! magnetization: 0.000 μB per atom
! DFT total energy: -4.70 eV per atom
! polymorph energy (0 for the lowest one): 68 meV per atom
! space-group type: C2/m, No. 12
! ρ: 6.55 g/cm3
&SYSTEM
  ibrav = 0, nat = 19, ntyp = 3
/
ATOMIC_SPECIES
La 138.91 La.upf
Nd 144.24 Nd.upf
Ho 164.93 Ho.upf
CELL_PARAMETERS angstrom
7.628 0.000 0.000
-3.814 9.517 4.814
0.000 1.339 10.162
ATOMIC_POSITIONS crystal
La 0.007 0.013 0.202
La 0.067 0.665 0.835
La 0.598 0.665 0.835
La 0.090 0.682 0.471
La 0.591 0.682 0.471
La 0.489 0.979 0.688
La 0.511 0.021 0.312
La 0.910 0.318 0.529
La 0.409 0.318 0.529
La 0.933 0.335 0.165
La 0.402 0.335 0.165
La 0.993 0.987 0.798
Nd 0.173 0.347 0.817
Nd 0.324 0.648 0.156
Nd 0.000 0.000 0.500
Nd 0.676 0.352 0.844
Nd 0.827 0.653 0.183
Ho 0.701 0.000 0.000
Ho 0.299 0.000 0.000

=====

Entry 5:
! Pr2Ge3Au5, optimized geometry, DFT GGA-PBE; values from VASP
! E_form: -12.620 kcal/mol of atoms
! magnetization: 0.000 μB per atom
! DFT total energy: -4.53 eV per atom
! space-group type: Ibam, No. 72
! ρ: 11.48 g/cm3
&SYSTEM
  ibrav = 0, nat = 20, ntyp = 3
/
ATOMIC_SPECIES
Pr 140.91 Pr.upf
Ge 72.64 Ge.upf
Au 196.97 Au.upf
CELL_PARAMETERS angstrom
6.350 0.000 0.000
3.175 8.290 0.093
3.175 1.370 8.177
ATOMIC_POSITIONS crystal
Pr 0.130 0.621 0.120
Pr 0.630 0.120 0.621
Pr 0.870 0.379 0.880
Pr 0.370 0.880 0.379
Ge 0.377 0.488 0.758
Ge 0.877 0.758 0.488
Ge 0.623 0.512 0.242
Ge 0.123 0.242 0.512
Ge 0.250 0.000 0.000
Ge 0.750 0.000 0.000
Au 0.385 0.248 0.983
Au 0.885 0.983 0.248
Au 0.615 0.752 0.017
Au 0.115 0.017 0.752
Au 0.510 0.740 0.740
Au 0.490 0.260 0.260
Au 0.750 0.500 0.500
Au 0.250 0.500 0.500
Au 0.990 0.260 0.260
Au 0.010 0.740 0.740

=====

Entry 6:
! TaMn5, optimized geometry, DFT GGA-PBE; values from VASP
! E_form: 2.528 kcal/mol of atoms
! magnetization: 0.330 μB per atom
! DFT total energy: -9.51 eV per atom
! space-group type: P6/mmm, No. 191
! ρ: 10.04 g/cm3
&SYSTEM
  ibrav = 0, nat = 6, ntyp = 2
/
ATOMIC_SPECIES
Ta 180.95 Ta.upf
Mn 54.94 Mn.upf
CELL_PARAMETERS angstrom
2.341 -4.056 0.000
2.341 4.056 0.000
0.000 0.000 3.967
ATOMIC_POSITIONS crystal
Ta 0.000 0.000 0.000
Mn 0.000 0.500 0.500
Mn 0.333 0.667 0.000
Mn 0.500 0.000 0.500
Mn 0.500 0.500 0.500
Mn 0.667 0.333 0.000

=====

Entry 7:
! InSnNO2, optimized geometry, DFT GGA-PBE; values from VASP
! magnetization: 0.392 μB per atom
! DFT total energy: -4.92 eV per atom
! space-group type: P4/mmm, No. 123
! energy relative to the elements, uncorrected: 0.4 eV/f.u.
! ρ: 5.89 g/cm3
&SYSTEM
  ibrav = 0, nat = 5, ntyp = 4
/
ATOMIC_SPECIES
N 14.01 N.upf
Sn 118.71 Sn.upf
O 16.00 O.upf
In 114.82 In.upf
CELL_PARAMETERS angstrom
4.287 0.000 0.000
0.000 4.287 0.000
0.000 0.000 4.290
ATOMIC_POSITIONS crystal
N 0.000 0.000 0.500
Sn 0.500 0.500 0.500
O 0.000 0.500 0.000
O 0.500 0.000 0.000
In 0.000 0.000 0.000

=====

Entry 8:
! Hf6CoRe2, optimized geometry, DFT GGA-PBE; values from VASP
! E_form: -1.494 kcal/mol of atoms
! magnetization: 0.000 μB per atom
! DFT total energy: -10.26 eV per atom
! space-group type: P2_1/c, No. 14
! ρ: 14.06 g/cm3
&SYSTEM
  ibrav = 0, nat = 18, ntyp = 3
/
ATOMIC_SPECIES
Hf 178.49 Hf.upf
Co 58.93 Co.upf
Re 186.21 Re.upf
CELL_PARAMETERS angstrom
5.532 0.000 0.369
0.000 7.027 0.000
-0.264 0.000 9.109
ATOMIC_POSITIONS crystal
Hf 0.855 0.953 0.246
Hf 0.847 0.657 0.548
Hf 0.864 0.702 0.942
Hf 0.636 0.202 0.558
Hf 0.653 0.157 0.952
Hf 0.645 0.453 0.254
Hf 0.145 0.047 0.754
Hf 0.153 0.343 0.452
Hf 0.136 0.298 0.058
Hf 0.364 0.798 0.442
Hf 0.347 0.843 0.048
Hf 0.355 0.547 0.746
Co 0.500 0.500 0.000
Co 0.000 0.000 0.500
Re 0.893 0.393 0.767
Re 0.607 0.893 0.733
Re 0.393 0.107 0.267
Re 0.107 0.607 0.233